1.
The following is a DFT calculation (PBE) of a relaxed structure of Pu2Ga3Ge3.

Density = 9.8 Mg/m³
Space-group type = Pmmm, No. 47
Energy = -54.815 eV/f.u.
Total magnetization = 1.3003 μB per atom
ΔH_f (0 K) = -0.40 eV per atom

Cell: 4.241 4.368 8.367 Å, 90.00 90.00 90.00°
Positions (direct):
Pu  0.000  0.000  0.246
Pu  0.000  0.000  0.754
Ga  0.000  0.500  0.500
Ga  0.500  0.500  0.254
Ga  0.500  0.500  0.746
Ge  0.000  0.500  0.000
Ge  0.500  0.000  0.000
Ge  0.500  0.000  0.500

***

2.
The following is a DFT calculation (PBE) of a relaxed structure of KI2NF.

Formation energy from raw total energies = 334 meV per atom
E above lowest polymorph = 0 meV/atom
Density = 3.6 Mg/m³
Space-group type = P4/mmm, No. 123
Energy = -12.722 eV/f.u.
Total magnetization = 0.5881 μB per atom

Cell: 5.290 5.290 5.390 Å, 90.00 90.00 90.00°
Positions (direct):
K  0.000  0.000  0.000
I  0.000  0.500  0.500
I  0.500  0.000  0.500
N  0.500  0.500  0.000
F  0.500  0.500  0.500

***

3.
The following is a DFT calculation (PBE) of a relaxed structure of KLiMn2.

E above lowest polymorph = 412 meV/atom
Density = 2.6 Mg/m³
Space-group type = Fm-3m, No. 225
Energy = -17.058 eV/f.u.
Total magnetization = 2.1176 μB per atom
ΔH_f (0 K) = 1.07 eV per atom

Cell: 5.211 5.211 5.211 Å, 60.00 60.00 60.00°
Positions (direct):
K  0.000  0.000  0.000
Li  0.500  0.500  0.500
Mn  0.250  0.250  0.250
Mn  0.750  0.750  0.750

***

4.
The following is a DFT calculation (PBE) of a relaxed structure of Ta2CoRu.

Density = 14.1 Mg/m³
Space-group type = Cmm2, No. 35
Energy = -39.884 eV/f.u.
Total magnetization = 0.3199 μB per atom
ΔH_f (0 K) = 0.05 eV per atom

Cell: 2.782 2.782 8.048 Å, 90.00 90.00 99.08°
Positions (direct):
Ta  0.000  0.000  0.000
Ta  0.500  0.500  0.291
Co  0.000  0.000  0.534
Ru  0.500  0.500  0.738

***

5.
The following is a DFT calculation (PBE) of a relaxed structure of YErIn2.

E above lowest polymorph = 132 meV/atom
Density = 7.1 Mg/m³
Space-group type = R-3m, No. 166
Energy = -17.856 eV/f.u.
Total magnetization = 0.0000 μB per atom
ΔH_f (0 K) = -0.34 eV per atom

Cell: 9.910 9.910 9.910 Å, 21.39 21.39 21.39°
Positions (direct):
Y  0.000  0.000  0.000
Er  0.500  0.500  0.500
In  0.249  0.249  0.249
In  0.751  0.751  0.751

***

6.
The following is a DFT calculation (PBE) of a relaxed structure of ZrTc3C.

E above lowest polymorph = 0 meV/atom
Density = 9.2 Mg/m³
Space-group type = Pm-3m, No. 221
Energy = -49.642 eV/f.u.
Total magnetization = 0.0000 μB per atom
ΔH_f (0 K) = -0.15 eV per atom

Cell: 4.153 4.153 4.153 Å, 90.00 90.00 90.00°
Positions (direct):
Zr  0.000  0.000  0.000
Tc  0.000  0.500  0.500
Tc  0.500  0.000  0.500
Tc  0.500  0.500  0.000
C  0.500  0.500  0.500

***

Q: Which of these has the highest density?
A: Ta2CoRu

***

Copy entry 3 word for word.
The following is a DFT calculation (PBE) of a relaxed structure of KLiMn2.

E above lowest polymorph = 412 meV/atom
Density = 2.6 Mg/m³
Space-group type = Fm-3m, No. 225
Energy = -17.058 eV/f.u.
Total magnetization = 2.1176 μB per atom
ΔH_f (0 K) = 1.07 eV per atom

Cell: 5.211 5.211 5.211 Å, 60.00 60.00 60.00°
Positions (direct):
K  0.000  0.000  0.000
Li  0.500  0.500  0.500
Mn  0.250  0.250  0.250
Mn  0.750  0.750  0.750